No. 1
PBE Re2Pb3, optimized geometry; SG = Fdd2 (43); volume = 24.8 Å³ per atom; ΔH_f (0 K) = 0.678 eV/atom
1.0
0.0000 10.9763 1.6976
6.6621 0.0000 1.6976
6.6621 10.9763 0.0000
Re Pb
4 6
Direct
0.2339 0.7661 0.3211
0.5711 0.9289 0.4839
0.7661 0.2339 0.6789
0.9289 0.5711 0.0161
0.2151 0.2840 0.5255
0.2746 0.7245 0.9660
0.2840 0.2151 0.9754
0.7245 0.2746 0.0349
0.7277 0.7277 0.2723
0.9777 0.9777 0.5223


No. 2
PBE Re2Pb, optimized geometry; SG = Cmcm (63); ΔE to the lowest computed polymorph = 0 meV/atom; volume = 21.4 Å³ per atom; ΔH_f (0 K) = 0.486 eV/atom
1.0
1.4574 -10.3175 0.0000
1.4574 10.3175 0.0000
0.0000 0.0000 4.2775
Re Pb
4 2
Direct
0.0368 0.9632 0.7500
0.4255 0.5745 0.7500
0.5745 0.4255 0.2500
0.9632 0.0368 0.2500
0.3245 0.6755 0.2500
0.6755 0.3245 0.7500


No. 3
PBE RePb, optimized geometry; SG = I4/m (87); ΔE to the lowest computed polymorph = 649 meV/atom; volume = 28.7 Å³ per atom; ΔH_f (0 K) = 1.033 eV/atom
1.0
-5.8261 5.8261 1.6923
5.8261 -5.8261 1.6923
5.8261 5.8261 -1.6923
Re Pb
4 4
Direct
0.1798 0.7642 0.9440
0.2358 0.1798 0.4157
0.7642 0.8202 0.5843
0.8202 0.2358 0.0560
0.2431 0.5293 0.7723
0.4707 0.2431 0.7138
0.5293 0.7569 0.2862
0.7569 0.4707 0.2277


No. 4
PBE RePb, optimized geometry; SG = P6_3/mmc (194); ΔE to the lowest computed polymorph = 650 meV/atom; volume = 22.7 Å³ per atom; ΔH_f (0 K) = 1.034 eV/atom
1.0
4.5762 0.0000 0.0000
-2.2881 3.9631 0.0000
0.0000 0.0000 5.0141
Re Pb
2 2
Direct
0.0000 0.0000 0.0000
0.0000 0.0000 0.5000
0.3333 0.6667 0.2500
0.6667 0.3333 0.7500


No. 5
PBE RePb, optimized geometry; SG = P4/nmm (129); ΔE to the lowest computed polymorph = 318 meV/atom; volume = 25.3 Å³ per atom; ΔH_f (0 K) = 0.702 eV/atom
1.0
3.6114 0.0000 0.0000
0.0000 3.6114 0.0000
0.0000 0.0000 7.7496
Re Pb
2 2
Direct
0.2500 0.7500 0.0000
0.7500 0.2500 0.0000
0.2500 0.2500 0.3108
0.7500 0.7500 0.6892


No. 6
PBE Re3Pb2, optimized geometry; SG = Fdd2 (43); ΔE to the lowest computed polymorph = 0 meV/atom; volume = 21.0 Å³ per atom; ΔH_f (0 K) = 0.883 eV/atom
1.0
0.0000 8.3660 2.9156
4.3088 0.0000 2.9156
4.3088 8.3660 0.0000
Re Pb
6 4
Direct
0.0000 0.0000 0.0000
0.1015 0.9210 0.6364
0.2500 0.2500 0.2500
0.6136 0.9090 0.1485
0.9090 0.6136 0.3290
0.9210 0.1015 0.3410
0.3204 0.5745 0.7655
0.4845 0.9103 0.9296
0.5745 0.3204 0.3397
0.9103 0.4845 0.6755


No. 7
PBE RePb, optimized geometry; SG = P-6m2 (187); ΔE to the lowest computed polymorph = 854 meV/atom; volume = 19.6 Å³ per atom; ΔH_f (0 K) = 1.239 eV/atom
1.0
3.2468 0.0000 0.0000
-1.6234 2.8118 0.0000
0.0000 0.0000 4.3001
Re Pb
1 1
Direct
0.0000 0.0000 0.0000
0.3333 0.6667 0.5000


No. 8
PBE RePb, optimized geometry; SG = F-43m (216); ΔE to the lowest computed polymorph = 1873 meV/atom; volume = 31.4 Å³ per atom; ΔH_f (0 K) = 2.257 eV/atom
1.0
0.0000 3.1532 3.1532
3.1532 0.0000 3.1532
3.1532 3.1532 0.0000
Re Pb
1 1
Direct
0.0000 0.0000 0.0000
0.7500 0.7500 0.7500